1.
VASP calculation (GGA-PBE) on a relaxed Cs2BaBeAs2 crystal.

Results
Formation energy from the elements: -0.4060 eV per atom
Density of states at the Fermi level: 0.1 states/eV/cell

Cell: 9.6104 9.6104 9.6104 Å, 133.86 65.29 136.48°
Sites, in units of the cell vectors:
Cs  0.1772  0.2059  0.3830
Cs  0.3228  0.7059  0.0287
Cs  0.6772  0.2941  0.9713
Cs  0.8228  0.7941  0.6170
Ba  0.2500  0.7500  0.5000
Ba  0.7500  0.2500  0.5000
Be  0.2500  0.2500  0.0000
Be  0.7500  0.7500  0.0000
As  0.0689  0.8243  0.8933
As  0.4311  0.3243  0.7554
As  0.5689  0.6757  0.2446
As  0.9311  0.1757  0.1067



2.
VASP calculation (GGA-PBE) on a relaxed Ba2DyBe2As4 crystal.

Results
Formation energy from the elements: -0.8548 eV per atom
Density of states at the Fermi level: 2.9 states/eV/cell

Cell: 7.9603 7.9603 7.5013 Å, 109.48 109.48 29.91°
Sites, in units of the cell vectors:
Ba  0.1381  0.1381  0.0758
Ba  0.8619  0.8619  0.9242
Dy  0.0000  0.0000  0.5000
Be  0.3268  0.3268  0.5223
Be  0.6732  0.6732  0.4777
As  0.2028  0.2028  0.6565
As  0.4775  0.4775  0.7460
As  0.5225  0.5225  0.2540
As  0.7972  0.7972  0.3435



3.
VASP calculation (GGA-PBE) on a relaxed BaBe2AsH2 crystal.

Results
E: -44.981 eV/cell
Density of states at the Fermi level: 4.0 states/eV/cell

Cell: 6.9177 4.4068 7.0736 Å, 90.00 117.41 90.00°
Sites, in units of the cell vectors:
Ba  0.1616  0.2500  0.3411
Ba  0.8384  0.7500  0.6589
Be  0.3321  0.0013  0.9919
Be  0.3321  0.4987  0.9919
Be  0.6679  0.5013  0.0081
Be  0.6679  0.9987  0.0081
As  0.3865  0.7500  0.7369
As  0.6135  0.2500  0.2631
H  0.1553  0.2500  0.8969
H  0.2309  0.7500  0.0696
H  0.7691  0.2500  0.9304
H  0.8447  0.7500  0.1031